Record 1
The following is a DFT calculation (PBE-GGA) of a geometry-optimized Zr6GeC3N2 structure.

Cell: 7.643 7.643 6.920 Å, 103.10 103.10 25.51°
Fractional coordinates of all 12 atoms:
1 Zr 0.000 0.000 0.220
2 Zr 0.000 0.000 0.780
3 Zr 0.322 0.322 0.409
4 Zr 0.332 0.332 0.915
5 Zr 0.668 0.668 0.085
6 Zr 0.678 0.678 0.591
7 Ge 0.500 0.500 0.500
8 C 0.168 0.168 0.330
9 C 0.500 0.500 0.000
10 C 0.832 0.832 0.670
11 N 0.172 0.172 0.841
12 N 0.828 0.828 0.159

Output
Raw formation energy = -0.94 eV per atom
Crystal system = monoclinic

=====

Record 2
The following is a DFT calculation (PBE-GGA) of a geometry-optimized NaGeC3 structure.

Cell: 4.037 4.037 4.037 Å, 90.00 90.00 90.00°
Fractional coordinates of all 5 atoms:
1 Na 0.000 0.000 0.000
2 Ge 0.500 0.500 0.500
3 C 0.000 0.500 0.500
4 C 0.500 0.000 0.500
5 C 0.500 0.500 0.000

Output
Crystal system = cubic
Energy above the lowest structure with this stoichiometry = 0 meV per atom
Formation energy = 11.9 eV/f.u.

=====

Record 3
The following is a DFT calculation (PBE-GGA) of a geometry-optimized NaGeC3 structure.

Cell: 4.220 4.220 4.220 Å, 90.00 90.00 90.00°
Fractional coordinates of all 5 atoms:
1 Na 0.000 0.000 0.000
2 Ge 0.500 0.500 0.500
3 C 0.000 0.000 0.500
4 C 0.000 0.500 0.000
5 C 0.500 0.000 0.000

Output
Crystal system = cubic
Energy above the lowest structure with this stoichiometry = 1263 meV per atom
Formation energy = 18.2 eV/f.u.